Record 1
# ScTe3Pb

A relaxed structure of ScTe3Pb (PBE-GGA, Alexandria via LeMat-Bulk).

Cell: 5.5620 5.5620 5.5620 Å, 90.00 90.00 90.00°
Sites, in units of the cell vectors:
1 Sc 0.0000 0.0000 0.0000
2 Te 0.0000 0.0000 0.5000
3 Te 0.0000 0.5000 0.0000
4 Te 0.5000 0.0000 0.0000
5 Pb 0.5000 0.5000 0.5000

Values from the calculation:
D(E_F) in states/eV per cell: 1.95
Formation energy (no corrections) in eV/atom: -0.38
Crystal system: cubic
SG: Pm-3m
Excess energy over the best structure of this formula in the dataset in meV per atom: 0

***

Record 2
# ZrAl2Re2

A relaxed structure of ZrAl2Re2 (PBE-GGA, Alexandria via LeMat-Bulk).

Cell: 6.0556 6.0556 6.0556 Å, 140.01 140.01 57.83°
Sites, in units of the cell vectors:
1 Zr 0.0000 0.0000 0.0000
2 Al 0.2500 0.7500 0.5000
3 Al 0.7500 0.2500 0.5000
4 Re 0.3907 0.3907 0.0000
5 Re 0.6093 0.6093 0.0000

Values from the calculation:
D(E_F) in states/eV per cell: 1.01
Crystal system: tetragonal
Formation enthalpy at 0 K in eV/atom: 0.1551
SG: I4/mmm
Excess energy over the best structure of this formula in the dataset in meV per atom: 299